Record 1
Below is a geometry-optimized FePSN2 structure, with properties calculated at the PBE-GGA level.

a b c (Å): 3.543 3.543 4.959
angles (deg): 90.00 90.00 90.00
Atoms (fractional coordinates):
Fe (0.000, 0.000, 0.000)
P (0.500, 0.500, 0.500)
S (0.000, 0.000, 0.500)
N (0.000, 0.500, 0.000)
N (0.500, 0.000, 0.000)

## Properties
formation energy without anion corrections: 5.03 eV per formula unit

=====

Record 2
Below is a geometry-optimized Y6Te3CS2 structure, with properties calculated at the PBE-GGA level.

a b c (Å): 6.956 6.956 7.342
angles (deg): 99.05 99.05 119.94
Atoms (fractional coordinates):
Y (0.066, 0.372, 0.197)
Y (0.238, 0.238, 0.797)
Y (0.372, 0.066, 0.197)
Y (0.628, 0.934, 0.803)
Y (0.762, 0.762, 0.203)
Y (0.934, 0.628, 0.803)
Te (0.174, 0.826, 0.500)
Te (0.500, 0.500, 0.500)
Te (0.826, 0.174, 0.500)
C (0.000, 0.000, 0.000)
S (0.334, 0.666, 0.000)
S (0.666, 0.334, 0.000)

## Properties
formation energy without anion corrections: -17.43 eV per formula unit

=====

Record 3
Below is a geometry-optimized HfZr3Sn structure, with properties calculated at the PBE-GGA level.

a b c (Å): 5.532 5.693 8.294
angles (deg): 82.72 70.57 67.61
Atoms (fractional coordinates):
Hf (0.248, 0.250, 0.004)
Hf (0.752, 0.750, 0.996)
Zr (0.142, 0.750, 0.218)
Zr (0.340, 0.750, 0.820)
Zr (0.456, 0.250, 0.588)
Zr (0.544, 0.750, 0.412)
Zr (0.660, 0.250, 0.180)
Zr (0.858, 0.250, 0.782)
Sn (0.056, 0.250, 0.388)
Sn (0.944, 0.750, 0.612)

## Properties
ΔE_f: -0.187 eV per atom

=====

Record 4
Below is a geometry-optimized CaZn structure, with properties calculated at the PBE-GGA level.

a b c (Å): 3.807 3.807 9.058
angles (deg): 90.00 90.00 120.00
Atoms (fractional coordinates):
Ca (0.000, 0.000, 0.000)
Ca (0.000, 0.000, 0.500)
Zn (0.333, 0.667, 0.250)
Zn (0.667, 0.333, 0.750)

## Properties
ΔE_f: -0.031 eV per atom

=====

Record 5
Below is a geometry-optimized Th2FeAu structure, with properties calculated at the PBE-GGA level.

a b c (Å): 4.025 4.025 21.604
angles (deg): 90.00 90.00 120.00
Atoms (fractional coordinates):
Th (0.000, 0.000, 0.000)
Th (0.000, 0.000, 0.199)
Th (0.333, 0.667, 0.667)
Th (0.333, 0.667, 0.865)
Th (0.667, 0.333, 0.333)
Th (0.667, 0.333, 0.532)
Fe (0.000, 0.000, 0.600)
Fe (0.333, 0.667, 0.267)
Fe (0.667, 0.333, 0.934)
Au (0.000, 0.000, 0.766)
Au (0.333, 0.667, 0.432)
Au (0.667, 0.333, 0.099)

## Properties
ΔE_f: -0.318 eV per atom

=====

Record 6
Below is a geometry-optimized LaSeI structure, with properties calculated at the PBE-GGA level.

a b c (Å): 3.908 3.908 13.227
angles (deg): 90.00 90.00 90.00
Atoms (fractional coordinates):
La (0.000, 0.000, 0.000)
La (0.500, 0.500, 0.500)
Se (0.000, 0.000, 0.599)
Se (0.500, 0.500, 0.099)
I (0.000, 0.000, 0.333)
I (0.500, 0.500, 0.833)

## Properties
formation energy without anion corrections: -4.70 eV per formula unit

=====

Record 7
Below is a geometry-optimized SbSeBr structure, with properties calculated at the PBE-GGA level.

a b c (Å): 4.056 7.259 7.321
angles (deg): 92.12 105.19 106.17
Atoms (fractional coordinates):
Sb (0.139, 0.494, 0.261)
Sb (0.861, 0.506, 0.739)
Se (0.403, 0.724, 0.587)
Se (0.597, 0.276, 0.413)
Br (0.290, 0.233, 0.860)
Br (0.710, 0.767, 0.140)

## Properties
formation energy without anion corrections: -1.29 eV per formula unit

=====

Record 8
Below is a geometry-optimized KMo3C structure, with properties calculated at the PBE-GGA level.

a b c (Å): 4.331 4.331 4.331
angles (deg): 90.00 90.00 90.00
Atoms (fractional coordinates):
K (0.000, 0.000, 0.000)
Mo (0.000, 0.500, 0.500)
Mo (0.500, 0.000, 0.500)
Mo (0.500, 0.500, 0.000)
C (0.500, 0.500, 0.500)

## Properties
ΔE_f: 1.175 eV per atom